Entry 1:
Crystalline YHf2TeF at its relaxed geometry, computed with GGA-PBE.

Unit cell a=4.4043 b=5.5656 c=4.4043 alpha=90.00 beta=90.00 gamma=90.00
Last column: nearest neighbours and their distance in Å.
Fractional positions:
Te 0.0000 0.5000 0.0000  2 F 2.78, 4 Y 3.11
Hf 0.0000 0.0000 0.5000  2 F 2.20
F 0.0000 0.0000 0.0000  4 Hf 2.20
Y 0.5000 0.5000 0.5000  4 Te 3.11
Hf 0.5000 0.0000 0.0000  2 F 2.20

Computed properties:
Uncorrected formation energy: -4.265 eV per formula unit
Uncorrected energy: -7.13 eV/atom
Size of the total moment: 0.000 Bohr magnetons per cell

***

Entry 2:
Crystalline Hf3TiF at its relaxed geometry, computed with GGA-PBE.

Unit cell a=4.5161 b=4.5161 c=4.5161 alpha=90.00 beta=90.00 gamma=90.00
Last column: nearest neighbours and their distance in Å.
Fractional positions:
Hf 0.0000 0.0000 0.5000  2 F 2.26
Hf 0.0000 0.5000 0.0000  2 F 2.26
Ti 0.5000 0.5000 0.5000  12 Hf 3.19
Hf 0.5000 0.0000 0.0000  2 F 2.26
F 0.0000 0.0000 0.0000  6 Hf 2.26

Computed properties:
Uncorrected formation energy: -2.309 eV per formula unit
Uncorrected energy: -8.39 eV/atom
Size of the total moment: 0.000 Bohr magnetons per cell
Energy above the most stable polymorph in this dataset: 0.0 meV/atom

***

Entry 3:
Crystalline HfTi3F at its relaxed geometry, computed with GGA-PBE.

Unit cell a=4.9566 b=4.9566 c=4.9566 alpha=90.00 beta=90.00 gamma=90.00
Last column: nearest neighbours and their distance in Å.
Fractional positions:
Ti 0.0000 0.5000 0.0000  2 Hf 2.48
Hf 0.0000 0.0000 0.0000  6 Ti 2.48
Ti 0.0000 0.0000 0.5000  2 Hf 2.48
F 0.5000 0.5000 0.5000  12 Ti 3.50
Ti 0.5000 0.0000 0.0000  2 Hf 2.48

Computed properties:
Uncorrected formation energy: 5.806 eV per formula unit
Uncorrected energy: -5.94 eV/atom
Size of the total moment: 2.938 Bohr magnetons per cell
Energy above the most stable polymorph in this dataset: 1755.2 meV/atom

***

Entry 4:
Crystalline HfTi3F at its relaxed geometry, computed with GGA-PBE.

Unit cell a=4.3157 b=4.3157 c=4.3157 alpha=90.00 beta=90.00 gamma=90.00
Last column: nearest neighbours and their distance in Å.
Fractional positions:
Ti 0.0000 0.5000 0.0000  2 F 2.16
Ti 0.5000 0.0000 0.0000  2 F 2.16
F 0.0000 0.0000 0.0000  6 Ti 2.16
Ti 0.0000 0.0000 0.5000  2 F 2.16
Hf 0.5000 0.5000 0.5000  12 Ti 3.05

Computed properties:
Uncorrected formation energy: -2.970 eV per formula unit
Uncorrected energy: -7.70 eV/atom
Size of the total moment: 0.000 Bohr magnetons per cell
Energy above the most stable polymorph in this dataset: 0.0 meV/atom